Computed, not measured: crystalline U2CrSi3Pt12 at its relaxed geometry at the GGA-PBE level of DFT.

Calculated values
**ΔE_f (raw)**: -351 meV/atom
**Magnetization**: 6.98 μB per cell
**Calculated total energy**: -7.07 eV per atom

POSCAR file:
```
U2CrSi3Pt12
1.0
4.091 2.362 5.884
-4.091 2.362 5.884
0.000 -4.724 5.884
U Cr Si Pt
2 1 3 12
direct
0.110 0.110 0.110
0.890 0.890 0.890
0.500 0.500 0.500
0.000 0.500 0.500
0.500 0.000 0.500
0.500 0.500 0.000
0.116 0.644 0.644
0.137 0.137 0.607
0.137 0.607 0.137
0.356 0.356 0.884
0.356 0.884 0.356
0.393 0.863 0.863
0.607 0.137 0.137
0.644 0.116 0.644
0.644 0.644 0.116
0.863 0.393 0.863
0.863 0.863 0.393
0.884 0.356 0.356
```

Computed, not measured: crystalline Cs4RbSn3Br12 at its relaxed geometry at the GGA-PBE level of DFT.

Calculated values
**ΔE_f (raw)**: -1263 meV/atom
**Magnetization**: 0.00 μB per cell
**Calculated total energy**: -3.09 eV per atom

POSCAR file:
```
Cs4RbSn3Br12
1.0
-5.950 5.950 5.950
5.950 -5.950 5.950
5.950 5.950 -5.950
Cs Rb Sn Br
4 1 3 12
direct
0.000 0.000 0.500
0.000 0.500 0.000
0.500 0.000 0.000
0.500 0.500 0.500
0.000 0.000 0.000
0.000 0.500 0.500
0.500 0.000 0.500
0.500 0.500 0.000
0.000 0.265 0.265
0.000 0.735 0.735
0.250 0.500 0.750
0.250 0.750 0.500
0.265 0.000 0.265
0.265 0.265 0.000
0.500 0.250 0.750
0.500 0.750 0.250
0.735 0.000 0.735
0.735 0.735 0.000
0.750 0.250 0.500
0.750 0.500 0.250
```

Computed, not measured: crystalline Hg4As3 at its relaxed geometry at the GGA-PBE level of DFT.

Calculated values
**Magnetization**: 0.00 μB per cell
**Calculated total energy**: -1.95 eV per atom
**Offset from the most stable computed form**: 0.0 meV/atom
**Energy of formation from the pure elements**: 217 meV per atom

POSCAR file:
```
Hg4As3
1.0
-1.914 1.914 11.724
1.914 -1.914 11.724
1.914 1.914 -11.724
Hg As
4 3
direct
0.066 0.066 0.000
0.371 0.371 0.000
0.629 0.629 0.000
0.934 0.934 0.000
0.258 0.258 0.000
0.500 0.500 0.000
0.742 0.742 0.000
```

Computed, not measured: crystalline Fe2AgPt at its relaxed geometry at the GGA-PBE level of DFT.

Calculated values
**Magnetization**: 6.09 μB per cell
**Calculated total energy**: -6.39 eV per atom
**Energy of formation from the pure elements**: 68 meV per atom

POSCAR file:
```
Fe2AgPt
1.0
2.896 0.000 0.000
0.000 2.896 0.000
0.000 0.000 6.933
Fe Ag Pt
2 1 1
direct
0.000 0.000 0.000
0.500 0.500 0.203
0.500 0.500 0.734
0.000 0.000 0.436
```

Computed, not measured: crystalline LiLa7Pr12 at its relaxed geometry at the GGA-PBE level of DFT.

Calculated values
**Magnetization**: 0.00 μB per cell
**Calculated total energy**: -4.13 eV per atom
**Energy of formation from the pure elements**: 561 meV per atom

POSCAR file:
```
LiLa7Pr12
1.0
-5.872 5.872 5.872
5.872 -5.872 5.872
5.872 5.872 -5.872
Li La Pr
1 7 12
direct
0.000 0.000 0.000
0.000 0.000 0.500
0.000 0.500 0.000
0.000 0.500 0.500
0.500 0.000 0.000
0.500 0.000 0.500
0.500 0.500 0.000
0.500 0.500 0.500
0.027 0.264 0.763
0.237 0.501 0.264
0.237 0.973 0.736
0.264 0.237 0.501
0.264 0.763 0.027
0.499 0.736 0.763
0.501 0.264 0.237
0.736 0.237 0.973
0.736 0.763 0.499
0.763 0.027 0.264
0.763 0.499 0.736
0.973 0.736 0.237
```